1.
Nd3Sm2Pd2: relaxed, PBE-GGA.

abc: 3.8702 6.5662 9.2422
angles: 113.93 90.00 107.14
Atoms (fractional coordinates):
1 Nd 0.5000 0.0000 0.0000
2 Nd 0.6150 0.2300 0.4402
3 Nd 0.3850 0.7700 0.5598
4 Sm 0.8413 0.6827 0.1892
5 Sm 0.1587 0.3173 0.8108
6 Pd 0.8321 0.6642 0.7720
7 Pd 0.1679 0.3358 0.2280

For the density of states at the Fermi level, the calculation gives 1.248 states/eV/atom. For the formation energy from the elements, the calculation gives -0.450 eV/atom. The calculation puts the total moment at 0.0 μB per formula unit. Its total energy is -5.33 eV/atom.

2.
NdSm2Pd2: relaxed, PBE-GGA.

abc: 3.9557 8.0512 8.0512
angles: 90.00 90.00 90.00
Atoms (fractional coordinates):
1 Nd 0.5000 0.5000 0.0000
2 Nd 0.5000 0.0000 0.5000
3 Sm 0.0000 0.6665 0.3335
4 Sm 0.0000 0.8335 0.8335
5 Sm 0.0000 0.1665 0.1665
6 Sm 0.0000 0.3335 0.6665
7 Pd 0.5000 0.3731 0.3731
8 Pd 0.5000 0.8731 0.1269
9 Pd 0.5000 0.1269 0.8731
10 Pd 0.5000 0.6269 0.6269

For the density of states at the Fermi level, the calculation gives 0.816 states/eV/atom. For the formation energy from the elements, the calculation gives -0.649 eV/atom. The calculation puts the total moment at 0.0 μB per formula unit. Its total energy is -5.57 eV/atom.